(1)
ReIrSe2 | PBE-GGA | relaxed

Computed properties:
energy relative to the elements, uncorrected = 433.6 meV/atom
total energy = -6.64 eV per atom
volume = 65 Å³/cell
space group = No. 12
N(E_F) = 2.3 states/eV/f.u.
ΔE to the lowest computed polymorph = 302 meV per atom
mass density = 13.655 g cm⁻³

abc: 4.451 4.451 5.216
angles: 80.49 80.49 39.87
Positions (direct):
Se  0.973  0.973  0.013
Ir  0.750  0.750  0.750
Se  0.527  0.527  0.487
Re  0.250  0.250  0.250

(2)
Re2IrSe | PBE-GGA | relaxed

Computed properties:
energy relative to the elements, uncorrected = 392.2 meV/atom
total energy = -8.92 eV per atom
volume = 63 Å³/cell
space group = No. 8
N(E_F) = 2.1 states/eV/f.u.
mass density = 17.084 g cm⁻³

abc: 5.002 5.002 4.536
angles: 87.85 87.85 33.49
Positions (direct):
Ir  0.279  0.279  0.237
Se  0.493  0.493  0.524
Re  0.725  0.725  0.767
Re  0.003  0.003  0.973

(3)
ReIrSe2 | PBE-GGA | relaxed

Computed properties:
energy relative to the elements, uncorrected = 468.5 meV/atom
total energy = -6.60 eV per atom
volume = 80 Å³/cell
space group = No. 71
N(E_F) = 3.4 states/eV/f.u.
ΔE to the lowest computed polymorph = 337 meV per atom
mass density = 11.198 g cm⁻³

abc: 6.593 6.593 6.593
angles: 154.03 140.51 47.88
Positions (direct):
Se  0.418  0.418  0.000
Re  0.250  0.750  0.500
Se  0.082  0.082  0.000
Ir  0.750  0.250  0.500

(4)
ReIr2Se | PBE-GGA | relaxed

Computed properties:
energy relative to the elements, uncorrected = 618.2 meV/atom
total energy = -7.80 eV per atom
volume = 61 Å³/cell
space group = No. 216
N(E_F) = 4.1 states/eV/f.u.
mass density = 17.610 g cm⁻³

abc: 4.425 4.425 4.425
angles: 60.00 60.00 60.00
Positions (direct):
Se  0.750  0.750  0.750
Ir  0.250  0.250  0.250
Ir  0.000  0.000  0.000
Re  0.500  0.500  0.500

(5)
ReIr2Se | PBE-GGA | relaxed

Computed properties:
energy relative to the elements, uncorrected = 387.8 meV/atom
total energy = -8.03 eV per atom
volume = 63 Å³/cell
space group = No. 8
N(E_F) = 2.5 states/eV/f.u.
mass density = 17.227 g cm⁻³

abc: 4.793 4.793 4.993
angles: 75.70 75.70 34.42
Positions (direct):
Ir  0.763  0.763  0.737
Re  0.512  0.512  0.543
Se  0.224  0.224  0.214
Ir  0.001  0.001  0.005

(6)
ReIrSe2 | PBE-GGA | relaxed

Computed properties:
energy relative to the elements, uncorrected = 843.8 meV/atom
total energy = -6.23 eV per atom
volume = 66 Å³/cell
space group = No. 65
N(E_F) = 3.4 states/eV/f.u.
ΔE to the lowest computed polymorph = 712 meV per atom
mass density = 13.568 g cm⁻³

abc: 2.887 2.887 8.992
angles: 90.00 90.00 118.84
Positions (direct):
Se  0.000  0.000  0.992
Re  0.500  0.500  0.750
Ir  0.500  0.500  0.250
Se  0.000  0.000  0.508

(7)
ReIrSe2 | PBE-GGA | relaxed

Computed properties:
energy relative to the elements, uncorrected = 298.0 meV/atom
total energy = -6.77 eV per atom
volume = 77 Å³/cell
space group = No. 25
N(E_F) = 2.8 states/eV/f.u.
ΔE to the lowest computed polymorph = 166 meV per atom
mass density = 11.582 g cm⁻³

abc: 3.073 3.840 6.516
angles: 90.00 90.00 90.00
Positions (direct):
Re  0.500  0.500  0.726
Se  0.000  0.000  0.896
Se  0.500  0.500  0.357
Ir  0.000  0.000  0.521

(8)
ReIrSe | PBE-GGA | relaxed

Computed properties:
energy relative to the elements, uncorrected = 617.7 meV/atom
total energy = -7.65 eV per atom
volume = 49 Å³/cell
space group = No. 42
N(E_F) = 2.1 states/eV/f.u.
ΔE to the lowest computed polymorph = 374 meV per atom
mass density = 15.504 g cm⁻³

abc: 7.714 7.459 2.778
angles: 84.66 74.32 21.02
Positions (direct):
Ir  0.990  0.990  0.010
Re  0.340  0.340  0.660
Se  0.671  0.671  0.329

(9)
ReIr2Se | PBE-GGA | relaxed

Computed properties:
energy relative to the elements, uncorrected = 572.7 meV/atom
total energy = -7.84 eV per atom
volume = 61 Å³/cell
space group = No. 47
N(E_F) = 4.7 states/eV/f.u.
mass density = 17.597 g cm⁻³

abc: 2.845 4.639 4.644
angles: 90.00 90.00 90.00
Positions (direct):
Se  0.000  0.500  0.500
Ir  0.500  0.500  0.000
Re  0.500  0.000  0.500
Ir  0.000  0.000  0.000

(10)
ReIr2Se | PBE-GGA | relaxed

Computed properties:
energy relative to the elements, uncorrected = 625.9 meV/atom
total energy = -7.79 eV per atom
volume = 175 Å³/cell
space group = No. 122
N(E_F) = 2.2 states/eV/f.u.
mass density = 12.326 g cm⁻³

abc: 5.786 5.786 6.639
angles: 64.16 64.16 90.00
Positions (direct):
Ir  0.375  0.368  0.750
Ir  0.118  0.625  0.250
Re  0.750  0.250  0.500
Re  0.000  0.000  0.000
Ir  0.875  0.882  0.750
Se  0.500  0.500  0.000
Se  0.250  0.750  0.500
Ir  0.632  0.125  0.250

(11)
Re2IrSe | PBE-GGA | relaxed

Computed properties:
energy relative to the elements, uncorrected = 670.7 meV/atom
total energy = -8.64 eV per atom
volume = 61 Å³/cell
space group = No. 119
N(E_F) = 4.1 states/eV/f.u.
mass density = 17.436 g cm⁻³

abc: 4.740 4.740 4.740
angles: 129.81 129.81 73.71
Positions (direct):
Re  0.000  0.000  0.000
Se  0.500  0.500  0.000
Ir  0.750  0.250  0.500
Re  0.250  0.750  0.500

(12)
Re2IrSe | PBE-GGA | relaxed

Computed properties:
energy relative to the elements, uncorrected = 420.5 meV/atom
total energy = -8.89 eV per atom
volume = 63 Å³/cell
space group = No. 12
N(E_F) = 2.8 states/eV/f.u.
mass density = 16.868 g cm⁻³

abc: 5.079 5.079 4.431
angles: 88.79 88.79 33.67
Positions (direct):
Se  0.750  0.750  0.750
Re  0.532  0.532  0.476
Re  0.968  0.968  0.024
Ir  0.250  0.250  0.250